one.
Below is an optimized crystal structure of InHg2H2, with properties calculated at the PBE-GGA level.

The space group is P4/mbm. As for the mass density: 7.9 Mg/m³. The density of states at the Fermi level is 0.37 states/eV per atom.

Cell: 7.6656 7.6656 3.7278 Å, 90.00 90.00 90.00°
Element x y z (fractional)
In 0.0000 0.0000 0.0000
In 0.5000 0.5000 0.0000
Hg 0.1431 0.3569 0.0000
Hg 0.3569 0.8569 0.0000
Hg 0.6431 0.1431 0.0000
Hg 0.8569 0.6431 0.0000
H 0.1393 0.3607 0.5000
H 0.3607 0.8607 0.5000
H 0.6393 0.1393 0.5000
H 0.8607 0.6393 0.5000

***

two.
Below is an optimized crystal structure of InHg2H2, with properties calculated at the PBE-GGA level.

The space group is I4/mmm. As for the mass density: 9.9 Mg/m³. The density of states at the Fermi level is 0.28 states/eV per atom.

Cell: 7.2939 7.2939 7.2939 Å, 151.76 151.76 40.36°
Element x y z (fractional)
In 0.0000 0.0000 0.0000
Hg 0.3460 0.3460 0.0000
Hg 0.6540 0.6540 0.0000
H 0.2500 0.7500 0.5000
H 0.7500 0.2500 0.5000

***

Stability summary: most stable one, least stable two.

***

one.
Below is an optimized crystal structure of InHgH3, with properties calculated at the PBE-GGA level.

The space group is Pm-3m. As for the mass density: 7.8 Mg/m³. The density of states at the Fermi level is 0.22 states/eV per atom.

Cell: 4.0812 4.0812 4.0812 Å, 90.00 90.00 90.00°
Element x y z (fractional)
In 0.0000 0.0000 0.0000
Hg 0.5000 0.5000 0.5000
H 0.0000 0.0000 0.5000
H 0.0000 0.5000 0.0000
H 0.5000 0.0000 0.0000

***

two.
Below is an optimized crystal structure of InHgH3, with properties calculated at the PBE-GGA level.

The space group is Pm-3m. As for the mass density: 7.7 Mg/m³. The density of states at the Fermi level is 0.15 states/eV per atom.

Cell: 4.0919 4.0919 4.0919 Å, 90.00 90.00 90.00°
Element x y z (fractional)
In 0.0000 0.0000 0.0000
Hg 0.5000 0.5000 0.5000
H 0.0000 0.5000 0.5000
H 0.5000 0.0000 0.5000
H 0.5000 0.5000 0.0000

***

Stability summary: most stable one, least stable two.

***

one.
Below is an optimized crystal structure of In2HgH2, with properties calculated at the PBE-GGA level.

The space group is C2/m. As for the mass density: 7.9 Mg/m³. The density of states at the Fermi level is 0.20 states/eV per atom.

Cell: 5.0421 5.0421 5.0238 Å, 119.86 119.86 59.72°
Element x y z (fractional)
In 0.2471 0.2471 0.2449
In 0.7529 0.7529 0.7551
Hg 0.0000 0.0000 0.5000
H 0.4857 0.4857 0.9123
H 0.5143 0.5143 0.0877

***

two.
Below is an optimized crystal structure of In2HgH2, with properties calculated at the PBE-GGA level.

The space group is I4/mmm. As for the mass density: 7.9 Mg/m³. The density of states at the Fermi level is 0.15 states/eV per atom.

Cell: 7.2715 7.2715 7.2715 Å, 150.78 150.78 41.80°
Element x y z (fractional)
In 0.1508 0.1508 0.0000
In 0.8492 0.8492 0.0000
Hg 0.5000 0.5000 0.0000
H 0.2500 0.7500 0.5000
H 0.7500 0.2500 0.5000

***

Stability summary: most stable one, least stable two.

***

one.
Below is an optimized crystal structure of In2HgH, with properties calculated at the PBE-GGA level.

The space group is I-42d. As for the mass density: 7.4 Mg/m³. The density of states at the Fermi level is 0.33 states/eV per atom.

Cell: 7.5391 7.5391 7.5391 Å, 137.64 137.64 61.46°
Element x y z (fractional)
In 0.0050 0.6250 0.8800
In 0.3750 0.2550 0.3800
In 0.7450 0.1250 0.1200
In 0.8750 0.9950 0.6200
Hg 0.2500 0.7500 0.5000
Hg 0.5000 0.5000 0.0000
H 0.0000 0.0000 0.0000
H 0.7500 0.2500 0.5000

***

two.
Below is an optimized crystal structure of In2HgH, with properties calculated at the PBE-GGA level.

The space group is P2_1/m. As for the mass density: 7.9 Mg/m³. The density of states at the Fermi level is 0.28 states/eV per atom.

Cell: 3.1294 8.7172 6.6674 Å, 90.00 93.36 90.00°
Element x y z (fractional)
In 0.2273 0.0398 0.2955
In 0.2273 0.4602 0.2955
In 0.7727 0.5399 0.7045
In 0.7727 0.9602 0.7045
Hg 0.2774 0.7500 0.0488
Hg 0.7226 0.2500 0.9512
H 0.2227 0.2500 0.3989
H 0.7773 0.7500 0.6011

***

three.
Below is an optimized crystal structure of In2HgH, with properties calculated at the PBE-GGA level.

The space group is R-3m. As for the mass density: 8.4 Mg/m³. The density of states at the Fermi level is 0.24 states/eV per atom.

Cell: 8.1080 8.1080 8.1080 Å, 25.23 25.23 25.23°
Element x y z (fractional)
In 0.2264 0.2264 0.2264
In 0.7736 0.7736 0.7736
Hg 0.0000 0.0000 0.0000
H 0.5000 0.5000 0.5000

***

four.
Below is an optimized crystal structure of In2HgH, with properties calculated at the PBE-GGA level.

The space group is Fm-3m. As for the mass density: 8.3 Mg/m³. The density of states at the Fermi level is 0.54 states/eV per atom.

Cell: 4.9542 4.9542 4.9542 Å, 60.00 60.00 60.00°
Element x y z (fractional)
In 0.2500 0.2500 0.2500
In 0.7500 0.7500 0.7500
Hg 0.0000 0.0000 0.0000
H 0.5000 0.5000 0.5000

***

Stability summary: most stable two, least stable four.

***

one.
Below is an optimized crystal structure of In2Hg2H, with properties calculated at the PBE-GGA level.

The space group is P4/mbm. As for the mass density: 9.4 Mg/m³. The density of states at the Fermi level is 0.37 states/eV per atom.

Cell: 6.1938 6.1938 5.8408 Å, 90.00 90.00 90.00°
Element x y z (fractional)
In 0.1871 0.3129 0.0000
In 0.3129 0.8129 0.0000
In 0.6871 0.1871 0.0000
In 0.8129 0.6871 0.0000
Hg 0.1767 0.6767 0.5000
Hg 0.3233 0.1767 0.5000
Hg 0.6767 0.8233 0.5000
Hg 0.8233 0.3233 0.5000
H 0.0000 0.0000 0.5000
H 0.5000 0.5000 0.5000

***

two.
Below is an optimized crystal structure of In2Hg2H, with properties calculated at the PBE-GGA level.

The space group is P4/mbm. As for the mass density: 8.8 Mg/m³. The density of states at the Fermi level is 0.49 states/eV per atom.

Cell: 6.3134 6.3134 5.9803 Å, 90.00 90.00 90.00°
Element x y z (fractional)
In 0.1791 0.3209 0.0000
In 0.3209 0.8209 0.0000
In 0.6791 0.1791 0.0000
In 0.8209 0.6791 0.0000
Hg 0.1901 0.3099 0.5000
Hg 0.3099 0.8099 0.5000
Hg 0.6901 0.1901 0.5000
Hg 0.8099 0.6901 0.5000
H 0.0000 0.0000 0.0000
H 0.5000 0.5000 0.0000

***

Stability summary: most stable two, least stable one.

***

one.
Below is an optimized crystal structure of InHgH2, with properties calculated at the PBE-GGA level.

The space group is Fm-3m. As for the mass density: 8.7 Mg/m³. The density of states at the Fermi level is 0.30 states/eV per atom.

Cell: 4.4158 4.4158 4.4158 Å, 60.00 60.00 60.00°
Element x y z (fractional)
In 0.0000 0.0000 0.0000
Hg 0.5000 0.5000 0.5000
H 0.2500 0.2500 0.2500
H 0.7500 0.7500 0.7500

***

two.
Below is an optimized crystal structure of InHgH2, with properties calculated at the PBE-GGA level.

The space group is Cmmm. As for the mass density: 6.4 Mg/m³. The density of states at the Fermi level is 0.20 states/eV per atom.

Cell: 4.9166 4.9166 4.5511 Å, 90.00 90.00 131.80°
Element x y z (fractional)
In 0.0000 0.0000 0.0000
Hg 0.5000 0.5000 0.5000
H 0.1902 0.8098 0.0000
H 0.8098 0.1902 0.0000

***

three.
Below is an optimized crystal structure of InHgH2, with properties calculated at the PBE-GGA level.

The space group is I-42d. As for the mass density: 6.1 Mg/m³. The density of states at the Fermi level is 0.03 states/eV per atom.

Cell: 6.5338 6.5338 6.5338 Å, 126.73 126.73 78.69°
Element x y z (fractional)
In 0.0000 0.0000 0.0000
In 0.7500 0.2500 0.5000
Hg 0.2500 0.7500 0.5000
Hg 0.5000 0.5000 0.0000
H 0.3750 0.1393 0.2643
H 0.8607 0.1250 0.2357
H 0.8750 0.1107 0.7357
H 0.8893 0.6250 0.7643

***

Stability summary: most stable three, least stable one.

***

one.
Below is an optimized crystal structure of Li2InHgH, with properties calculated at the PBE-GGA level.

The space group is P4/mmm. As for the mass density: 6.9 Mg/m³. The density of states at the Fermi level is 0.26 states/eV per atom.

Cell: 4.4005 4.4005 4.1025 Å, 90.00 90.00 90.00°
Element x y z (fractional)
Li 0.0000 0.5000 0.0000
Li 0.5000 0.0000 0.0000
In 0.0000 0.0000 0.5000
Hg 0.5000 0.5000 0.5000
H 0.5000 0.5000 0.0000

***

two.
Below is an optimized crystal structure of Li2InHgH, with properties calculated at the PBE-GGA level.

The space group is P4/mmm. As for the mass density: 6.8 Mg/m³. The density of states at the Fermi level is 0.19 states/eV per atom.

Cell: 4.2502 4.2502 4.4617 Å, 90.00 90.00 90.00°
Element x y z (fractional)
Li 0.0000 0.5000 0.0000
Li 0.5000 0.0000 0.0000
In 0.0000 0.0000 0.5000
Hg 0.5000 0.5000 0.5000
H 0.0000 0.0000 0.0000

***

Stability summary: most stable two, least stable one.

***

one.
Below is an optimized crystal structure of InHgHPb2, with properties calculated at the PBE-GGA level.

The space group is P4/mmm. As for the mass density: 10.1 Mg/m³. The density of states at the Fermi level is 0.44 states/eV per atom.

Cell: 4.8820 4.8820 5.0470 Å, 90.00 90.00 90.00°
Element x y z (fractional)
In 0.0000 0.0000 0.0000
Hg 0.5000 0.5000 0.0000
H 0.5000 0.5000 0.5000
Pb 0.0000 0.5000 0.5000
Pb 0.5000 0.0000 0.5000

***

two.
Below is an optimized crystal structure of InHgHPb2, with properties calculated at the PBE-GGA level.

The space group is P4/mmm. As for the mass density: 10.1 Mg/m³. The density of states at the Fermi level is 0.43 states/eV per atom.

Cell: 4.9123 4.9123 4.9731 Å, 90.00 90.00 90.00°
Element x y z (fractional)
In 0.0000 0.0000 0.0000
Hg 0.5000 0.5000 0.0000
H 0.0000 0.0000 0.5000
Pb 0.0000 0.5000 0.5000
Pb 0.5000 0.0000 0.5000

***

Stability summary: most stable two, least stable one.

***

one.
Below is an optimized crystal structure of In2SnHgH, with properties calculated at the PBE-GGA level.

The space group is P4/mmm. As for the mass density: 8.2 Mg/m³. The density of states at the Fermi level is 0.49 states/eV per atom.

Cell: 4.7086 4.7086 5.0350 Å, 90.00 90.00 90.00°
Element x y z (fractional)
In 0.0000 0.5000 0.0000
In 0.5000 0.0000 0.0000
Sn 0.0000 0.0000 0.5000
Hg 0.5000 0.5000 0.5000
H 0.5000 0.5000 0.0000

***

two.
Below is an optimized crystal structure of In2SnHgH, with properties calculated at the PBE-GGA level.

The space group is P4/mmm. As for the mass density: 8.2 Mg/m³. The density of states at the Fermi level is 0.50 states/eV per atom.

Cell: 4.9709 4.9709 4.5237 Å, 90.00 90.00 90.00°
Element x y z (fractional)
In 0.0000 0.5000 0.0000
In 0.5000 0.0000 0.0000
Sn 0.0000 0.0000 0.5000
Hg 0.5000 0.5000 0.5000
H 0.0000 0.0000 0.0000

***

Stability summary: most stable two, least stable one.

***

one.
Below is an optimized crystal structure of Sr2InHgH, with properties calculated at the PBE-GGA level.

The space group is P4/mmm. As for the mass density: 6.3 Mg/m³. The density of states at the Fermi level is 0.46 states/eV per atom.

Cell: 5.4141 5.4141 4.4400 Å, 90.00 90.00 90.00°
Element x y z (fractional)
Sr 0.0000 0.5000 0.0000
Sr 0.5000 0.0000 0.0000
In 0.0000 0.0000 0.5000
Hg 0.5000 0.5000 0.5000
H 0.5000 0.5000 0.0000

***

two.
Below is an optimized crystal structure of Sr2InHgH, with properties calculated at the PBE-GGA level.

The space group is P4/mmm. As for the mass density: 6.2 Mg/m³. The density of states at the Fermi level is 0.58 states/eV per atom.

Cell: 5.4776 5.4776 4.3941 Å, 90.00 90.00 90.00°
Element x y z (fractional)
Sr 0.0000 0.5000 0.0000
Sr 0.5000 0.0000 0.0000
In 0.0000 0.0000 0.5000
Hg 0.5000 0.5000 0.5000
H 0.0000 0.0000 0.0000

***

Stability summary: most stable two, least stable one.

***

one.
Below is an optimized crystal structure of Hg3HIr, with properties calculated at the PBE-GGA level.

The space group is Pm-3m. As for the mass density: 16.0 Mg/m³. The density of states at the Fermi level is 0.34 states/eV per atom.

Cell: 4.3510 4.3510 4.3510 Å, 90.00 90.00 90.00°
Element x y z (fractional)
Hg 0.0000 0.0000 0.5000
Hg 0.0000 0.5000 0.0000
Hg 0.5000 0.0000 0.0000
H 0.0000 0.0000 0.0000
Ir 0.5000 0.5000 0.5000

***

two.
Below is an optimized crystal structure of Hg3HIr, with properties calculated at the PBE-GGA level.

The space group is Pm-3m. As for the mass density: 9.0 Mg/m³. The density of states at the Fermi level is 0.32 states/eV per atom.

Cell: 5.2826 5.2826 5.2826 Å, 90.00 90.00 90.00°
Element x y z (fractional)
Hg 0.0000 0.0000 0.5000
Hg 0.0000 0.5000 0.0000
Hg 0.5000 0.0000 0.0000
H 0.5000 0.5000 0.5000
Ir 0.0000 0.0000 0.0000

***

Stability summary: most stable two, least stable one.

***

one.
Below is an optimized crystal structure of KHg3H, with properties calculated at the PBE-GGA level.

The space group is P1. As for the mass density: 8.2 Mg/m³. The density of states at the Fermi level is 0.10 states/eV per atom.

Cell: 5.5015 5.8064 9.2985 Å, 86.12 73.23 66.69°
Element x y z (fractional)
K 0.0000 0.0000 0.0000
K 0.1024 0.3141 0.3885
Hg 0.2679 0.7575 0.5767
Hg 0.3506 0.3831 0.0276
Hg 0.4336 0.2204 0.7117
Hg 0.5201 0.6744 0.1995
Hg 0.7465 0.5967 0.7714
Hg 0.7676 0.9353 0.3993
H 0.4403 0.0324 0.1107
H 0.9443 0.5178 0.1122

***

two.
Below is an optimized crystal structure of KHg3H, with properties calculated at the PBE-GGA level.

The space group is P1. As for the mass density: 8.3 Mg/m³. The density of states at the Fermi level is 0.13 states/eV per atom.

Cell: 5.5576 5.8785 9.0012 Å, 78.60 74.89 65.44°
Element x y z (fractional)
K 0.0000 0.0000 0.0000
K 0.0283 0.4748 0.5281
Hg 0.2516 0.3624 0.1420
Hg 0.3637 0.8231 0.6384
Hg 0.4825 0.7469 0.2828
Hg 0.5417 0.2363 0.7335
Hg 0.7026 0.6282 0.9233
Hg 0.7446 0.1283 0.3809
H 0.4666 0.0972 0.9563
H 0.9560 0.0366 0.6922

***

Stability summary: most stable one, least stable two.